VASP calculation (PBE) on a geometry-optimized CaFe2Si3 structure.

abc: 5.9836 5.9836 5.1302
angles: 90.00 90.00 73.97
Atoms (fractional coordinates):
Ca 0.1557 0.8443 0.7500
Ca 0.8443 0.1557 0.2500
Fe 0.3041 0.3041 0.0000
Fe 0.3041 0.3041 0.5000
Fe 0.6959 0.6959 0.0000
Fe 0.6959 0.6959 0.5000
Si 0.0234 0.5866 0.2500
Si 0.4134 0.9766 0.2500
Si 0.4317 0.5683 0.2500
Si 0.5683 0.4317 0.7500
Si 0.5866 0.0234 0.7500
Si 0.9766 0.4134 0.7500

## Properties
DOS(E_F), states/eV/f.u.: 4.8
Formation energy from raw total energies, meV per atom: -474
Calculated total energy, eV for the cell shown: -76.1
Magnetic moment, μB per atom: 0.0001